# 1
Compound: Tl2TcRh
Source: the Alexandria database
Functional: GGA-PBE
Structure: relaxed

The structure in POSCAR format:
```
Tl2TcRh
1.0
-6.964 2.512 1.259
0.753 -1.572 7.304
-2.037 3.193 4.757
Tl Tc Rh
4 2 2
direct
0.635 0.125 0.250
0.875 0.885 0.750
0.115 0.625 0.250
0.375 0.365 0.750
0.500 0.500 0.000
0.250 0.750 0.500
0.000 0.000 0.000
0.750 0.250 0.500
```

Output
DFT total energy	-0.176	hartree per atom
energy of formation	0.82	eV/atom
excess energy over the best structure of this formula in the dataset	509	meV/atom
density	12.1	g/cm³
spin magnetization	0.5724	μB/atom
calculated volume	167.1	Å³/cell


# 2
Compound: Li17Ag2
Source: the Alexandria database
Functional: GGA-PBE
Structure: relaxed

The structure in POSCAR format:
```
Li17Ag2
1.0
-6.369 -1.567 4.073
-6.056 -2.698 -3.957
-1.725 -7.461 0.984
Li Ag
17 2
direct
0.000 0.314 0.686
0.563 0.199 0.563
0.500 0.000 0.000
0.314 0.686 0.000
0.910 0.910 0.910
0.000 0.686 0.314
0.199 0.563 0.563
0.000 0.500 0.000
0.686 0.314 0.000
0.437 0.437 0.801
0.801 0.437 0.437
0.686 0.000 0.314
0.437 0.801 0.437
0.314 0.000 0.686
0.563 0.563 0.199
0.000 0.000 0.500
0.090 0.090 0.090
0.285 0.285 0.285
0.715 0.715 0.715
```

Output
DFT total energy	-0.073	hartree per atom
energy of formation	0.04	eV/atom
density	1.6	g/cm³
spin magnetization	0.0000	μB/atom
calculated volume	350.0	Å³/cell


# 3
Compound: La3PuCl2O6
Source: the Alexandria database
Functional: GGA-PBE
Structure: relaxed

The structure in POSCAR format:
```
La3PuCl2O6
1.0
5.516 0.000 0.774
0.000 7.031 0.000
0.273 -3.516 6.336
O Pu La Cl
6 1 3 2
direct
0.699 0.822 0.133
0.658 0.839 0.679
0.699 0.311 0.133
0.301 0.689 0.867
0.342 0.161 0.321
0.301 0.178 0.867
0.500 0.000 0.000
0.500 0.000 0.500
0.500 0.500 0.500
0.000 0.500 0.000
0.871 0.295 0.590
0.129 0.705 0.410
```

Output
DFT total energy	-0.295	hartree per atom
density	5.6	g/cm³
spin magnetization	0.2500	μB/atom
calculated volume	244.2	Å³/cell


# 4
Compound: ReSiIF2
Source: the Alexandria database
Functional: GGA-PBE
Structure: relaxed

The structure in POSCAR format:
```
ReSiIF2
1.0
-2.056 3.262 -0.455
-4.373 -2.495 1.873
0.926 1.087 3.610
Si F Re I
1 2 1 1
direct
0.000 0.000 0.000
0.500 0.000 0.000
0.000 0.000 0.500
0.000 0.500 0.000
0.500 0.500 0.500
```

Output
DFT total energy	-0.186	hartree per atom
density	7.8	g/cm³
spin magnetization	0.2039	μB/atom
calculated volume	81.0	Å³/cell


# 5
Compound: Zr2ScCd
Source: the Alexandria database
Functional: GGA-PBE
Structure: relaxed

The structure in POSCAR format:
```
Zr2ScCd
1.0
5.041 0.000 0.000
2.521 4.366 0.000
2.521 1.455 4.116
Cd Zr Sc
1 2 1
direct
0.500 0.500 0.500
0.000 0.000 0.000
0.250 0.250 0.250
0.750 0.750 0.750
```

Output
DFT total energy	-0.222	hartree per atom
energy of formation	0.06	eV/atom
excess energy over the best structure of this formula in the dataset	176	meV/atom
density	6.2	g/cm³
spin magnetization	0.5417	μB/atom
calculated volume	90.6	Å³/cell


# 6
Compound: Tb5PuHg6
Source: the Alexandria database
Functional: GGA-PBE
Structure: relaxed

The structure in POSCAR format:
```
Tb5PuHg6
1.0
-2.028 -1.786 4.514
6.872 -5.598 -2.191
1.657 8.898 1.200
Tb Hg Pu
5 6 1
direct
0.500 0.842 0.158
0.000 0.671 0.329
0.000 0.329 0.671
0.500 0.500 0.500
0.500 0.158 0.842
0.741 0.572 0.911
0.259 0.428 0.089
0.259 0.089 0.428
0.233 0.733 0.733
0.767 0.267 0.267
0.741 0.911 0.572
0.000 0.000 0.000
```

Output
DFT total energy	-0.136	hartree per atom
energy of formation	-0.41	eV/atom
density	11.9	g/cm³
spin magnetization	0.5494	μB/atom
calculated volume	313.2	Å³/cell


# 7
Compound: In
Source: the Alexandria database
Functional: GGA-PBE
Structure: relaxed

The structure in POSCAR format:
```
In
1.0
6.166 0.000 0.000
0.000 6.166 0.000
0.000 0.000 11.926
In
16
direct
0.319 0.319 0.750
0.681 0.681 0.750
0.819 0.819 0.250
0.181 0.819 0.750
0.681 0.319 0.250
0.819 0.319 0.000
0.819 0.681 0.500
0.181 0.181 0.250
0.681 0.819 0.000
0.819 0.181 0.750
0.181 0.681 0.000
0.319 0.681 0.250
0.319 0.819 0.500
0.319 0.181 0.000
0.681 0.181 0.500
0.181 0.319 0.500
```

Output
DFT total energy	-0.098	hartree per atom
energy of formation	0.07	eV/atom
excess energy over the best structure of this formula in the dataset	68	meV/atom
density	6.7	g/cm³
spin magnetization	0.0000	μB/atom
calculated volume	453.4	Å³/cell


# 8
Compound: LaY2HfH
Source: the Alexandria database
Functional: GGA-PBE
Structure: relaxed

The structure in POSCAR format:
```
LaY2HfH
1.0
-0.966 4.298 2.223
-3.264 -2.252 2.936
3.517 -0.882 3.234
La Y H Hf
1 2 1 1
direct
0.500 0.500 0.500
0.000 0.500 0.000
0.500 0.000 0.000
0.000 0.000 0.000
0.000 0.000 0.500
```

Output
DFT total energy	-0.230	hartree per atom
excess energy over the best structure of this formula in the dataset	10	meV/atom
density	7.0	g/cm³
spin magnetization	0.0000	μB/atom
calculated volume	118.3	Å³/cell


# 9
Compound: Er2TmOs
Source: the Alexandria database
Functional: GGA-PBE
Structure: relaxed

The structure in POSCAR format:
```
Er2TmOs
1.0
-2.306 -2.786 1.618
3.740 -2.665 -4.109
6.053 -1.317 6.362
Er Os Tm
4 2 2
direct
0.144 0.289 0.065
0.856 0.711 0.935
0.144 0.289 0.435
0.856 0.711 0.565
0.241 0.482 0.750
0.759 0.518 0.250
0.426 0.852 0.250
0.574 0.148 0.750
```

Output
DFT total energy	-0.238	hartree per atom
energy of formation	-0.28	eV/atom
excess energy over the best structure of this formula in the dataset	18	meV/atom
density	11.2	g/cm³
spin magnetization	0.0000	μB/atom
calculated volume	205.3	Å³/cell


# 10
Compound: Li12Ga3Cu
Source: the Alexandria database
Functional: GGA-PBE
Structure: relaxed

The structure in POSCAR format:
```
Li12Ga3Cu
1.0
-0.344 0.315 3.932
2.568 -2.978 0.464
12.551 10.862 0.228
Ga Li Cu
3 12 1
direct
0.000 0.000 0.245
0.000 0.000 0.500
0.000 0.000 0.755
0.500 0.000 0.371
0.500 0.500 0.000
0.000 0.500 0.117
0.500 0.500 0.757
0.500 0.500 0.243
0.000 0.500 0.883
0.500 0.000 0.883
0.500 0.500 0.500
0.000 0.500 0.629
0.500 0.000 0.629
0.500 0.000 0.117
0.000 0.500 0.371
0.000 0.000 0.000
```

Output
DFT total energy	-0.087	hartree per atom
energy of formation	-0.12	eV/atom
density	2.3	g/cm³
spin magnetization	0.0000	μB/atom
calculated volume	260.3	Å³/cell


# 11
Compound: LaCoCu2C
Source: the Alexandria database
Functional: GGA-PBE
Structure: relaxed

The structure in POSCAR format:
```
LaCoCu2C
1.0
-0.298 4.312 0.636
-4.496 -0.666 2.410
2.102 -0.416 3.807
C Cu La Co
1 2 1 1
direct
0.500 0.500 0.500
0.000 0.000 0.500
0.500 0.000 0.000
0.000 0.500 0.000
0.000 0.000 0.000
```

Output
DFT total energy	-0.167	hartree per atom
energy of formation	1.34	eV/atom
density	5.7	g/cm³
spin magnetization	0.4404	μB/atom
calculated volume	98.2	Å³/cell


# 12
Compound: AcIn2SbPd4
Source: the Alexandria database
Functional: GGA-PBE
Structure: relaxed

The structure in POSCAR format:
```
AcIn2SbPd4
1.0
4.622 0.000 0.000
2.311 4.003 0.000
2.311 1.334 9.398
Pd Ac In Sb
4 1 2 1
direct
0.598 0.598 0.206
0.402 0.402 0.794
0.864 0.864 0.409
0.136 0.136 0.591
0.000 0.000 0.000
0.245 0.245 0.266
0.755 0.755 0.734
0.500 0.500 0.500
```

Output
DFT total energy	-0.179	hartree per atom
density	9.6	g/cm³
spin magnetization	0.0000	μB/atom
calculated volume	173.9	Å³/cell


# 13
Compound: Na2CrH
Source: the Alexandria database
Functional: GGA-PBE
Structure: relaxed

The structure in POSCAR format:
```
Na2CrH
1.0
-0.542 -3.280 3.845
-2.737 1.298 4.082
-4.502 -2.203 0.846
H Na Cr
1 2 1
direct
0.000 0.000 0.000
0.750 0.750 0.750
0.250 0.250 0.250
0.500 0.500 0.500
```

Output
DFT total energy	-0.110	hartree per atom
excess energy over the best structure of this formula in the dataset	275	meV/atom
density	1.8	g/cm³
spin magnetization	1.3013	μB/atom
calculated volume	92.9	Å³/cell


# 14
Compound: LiV4Zn2
Source: the Alexandria database
Functional: GGA-PBE
Structure: relaxed

The structure in POSCAR format:
```
LiV4Zn2
1.0
3.912 0.000 0.000
0.000 3.912 0.000
1.956 1.956 6.665
V Zn Li
4 2 1
direct
0.000 0.500 0.000
0.500 0.000 0.000
0.826 0.826 0.349
0.174 0.174 0.651
0.635 0.635 0.730
0.365 0.365 0.270
0.000 0.000 0.000
```

Output
DFT total energy	-0.178	hartree per atom
energy of formation	1.01	eV/atom
density	5.6	g/cm³
spin magnetization	0.0008	μB/atom
calculated volume	102.0	Å³/cell


# 15
Compound: SnRuAu3
Source: the Alexandria database
Functional: GGA-PBE
Structure: relaxed

The structure in POSCAR format:
```
SnRuAu3
1.0
5.096 0.000 0.000
0.000 5.096 0.000
0.000 0.000 5.096
Au Sn Ru
3 1 1
direct
0.500 0.000 0.000
0.000 0.000 0.500
0.000 0.500 0.000
0.000 0.000 0.000
0.500 0.500 0.500
```

Output
DFT total energy	-0.124	hartree per atom
energy of formation	1.24	eV/atom
excess energy over the best structure of this formula in the dataset	371	meV/atom
density	10.2	g/cm³
spin magnetization	0.5612	μB/atom
calculated volume	132.3	Å³/cell


# 16
Compound: BaCu2Pd
Source: the Alexandria database
Functional: GGA-PBE
Structure: relaxed

The structure in POSCAR format:
```
BaCu2Pd
1.0
4.135 0.005 1.480
1.803 3.721 1.480
0.149 0.093 6.032
Cu Pd Ba
2 1 1
direct
0.312 0.312 0.064
0.997 0.997 0.009
0.692 0.692 0.925
0.499 0.499 0.502
```

Output
DFT total energy	-0.149	hartree per atom
energy of formation	-0.23	eV/atom
excess energy over the best structure of this formula in the dataset	0	meV/atom
density	6.7	g/cm³
spin magnetization	0.0000	μB/atom
calculated volume	91.6	Å³/cell


# 17
Compound: BaTi6O12
Source: the Alexandria database
Functional: GGA-PBE
Structure: relaxed

The structure in POSCAR format:
```
BaTi6O12
1.0
8.507 0.001 0.000
-3.794 7.614 0.000
-2.357 -3.808 7.233
O Ba Ti
24 2 12
direct
0.791 0.501 0.629
0.152 0.803 0.955
0.872 0.162 0.371
0.865 0.821 0.355
0.161 0.539 0.701
0.162 0.791 0.289
0.209 0.499 0.371
0.511 0.865 0.045
0.838 0.209 0.711
0.501 0.872 0.711
0.135 0.179 0.645
0.803 0.848 0.651
0.839 0.461 0.299
0.466 0.511 0.645
0.848 0.197 0.045
0.489 0.135 0.955
0.197 0.152 0.349
0.499 0.128 0.289
0.539 0.839 0.378
0.461 0.161 0.622
0.534 0.489 0.355
0.821 0.466 0.955
0.128 0.838 0.629
0.179 0.534 0.045
0.778 0.778 0.000
0.222 0.222 0.000
0.651 0.169 0.819
0.168 0.984 0.483
0.349 0.831 0.181
0.984 0.502 0.816
0.314 0.832 0.816
0.016 0.498 0.184
0.686 0.168 0.184
0.831 0.651 0.482
0.832 0.016 0.517
0.502 0.686 0.517
0.169 0.349 0.518
0.498 0.314 0.483
```

Output
DFT total energy	-0.322	hartree per atom
excess energy over the best structure of this formula in the dataset	0	meV/atom
density	4.4	g/cm³
spin magnetization	0.1096	μB/atom
calculated volume	468.5	Å³/cell


# 18
Compound: LuMg2Au
Source: the Alexandria database
Functional: GGA-PBE
Structure: relaxed

The structure in POSCAR format:
```
LuMg2Au
1.0
4.851 0.000 0.000
0.000 4.226 0.000
0.000 0.000 4.226
Au Mg Lu
1 2 1
direct
0.500 0.000 0.000
0.000 0.000 0.500
0.000 0.500 0.000
0.500 0.500 0.500
```

Output
DFT total energy	-0.115	hartree per atom
energy of formation	-0.38	eV/atom
density	8.1	g/cm³
spin magnetization	0.0000	μB/atom
calculated volume	86.6	Å³/cell


# 19
Compound: MgSn2Hg8
Source: the Alexandria database
Functional: GGA-PBE
Structure: relaxed

The structure in POSCAR format:
```
MgSn2Hg8
1.0
8.499 0.700 -1.040
-1.806 5.746 -0.118
-0.678 0.999 5.902
Hg Sn Mg
8 2 1
direct
0.758 0.172 0.621
0.242 0.379 0.828
0.758 0.621 0.172
0.242 0.828 0.379
0.568 0.669 0.669
0.057 0.323 0.323
0.432 0.331 0.331
0.943 0.677 0.677
0.674 0.104 0.104
0.326 0.896 0.896
0.000 0.000 0.000
```

Output
DFT total energy	-0.039	hartree per atom
energy of formation	0.02	eV/atom
density	10.5	g/cm³
spin magnetization	0.0000	μB/atom
calculated volume	294.5	Å³/cell


# 20
Compound: BePPb
Source: the Alexandria database
Functional: GGA-PBE
Structure: relaxed

The structure in POSCAR format:
```
BePPb
1.0
-3.687 -2.814 -0.008
-1.751 -1.516 -4.019
0.483 -4.452 -1.208
Pb Be P
1 1 1
direct
0.750 0.750 0.750
0.000 0.000 0.000
0.500 0.500 0.500
```

Output
DFT total energy	-0.121	hartree per atom
energy of formation	1.00	eV/atom
excess energy over the best structure of this formula in the dataset	1061	meV/atom
density	5.8	g/cm³
spin magnetization	0.0001	μB/atom
calculated volume	70.6	Å³/cell